# MnSnIrSe PBE relaxed
data_MnSnIrSe
_symmetry_space_group_name_H-M 'C 1 m 1'
_symmetry_Int_Tables_number 8
_cell_length_a 8.076
_cell_length_b 3.001
_cell_length_c 6.811
_cell_angle_alpha 90.00
_cell_angle_beta 118.94
_cell_angle_gamma 90.00
loop_
_symmetry_equiv_pos_as_xyz
'x,y,z'
'x,-y,z'
'x+1/2,y+1/2,z'
'x+1/2,-y+1/2,z'
loop_
_atom_site_label
_atom_site_type_symbol
_atom_site_fract_x
_atom_site_fract_y
_atom_site_fract_z
Mn1 Mn 0.000 0.000 0.000
Sn1 Sn 0.185 0.000 0.452
Ir1 Ir 0.060 0.500 0.698
Se1 Se 0.293 0.000 0.014
# Polymorph energy (0 for the lowest one) in meV/atom: 187.6
# DOS at the Fermi energy in states/eV per atom: 0.33
# Theoretical density in kg/m3: 10226
# Calculated volume in Å³/cell: 144.5